An optimized crystal structure of TlTcB3. Source: the Alexandria database, functional PBE.

Values from the calculation:
polymorph energy (0 for the lowest one)	2047	meV per atom
calculated total energy	-17.4	eV/cell
formation energy from the elements	3.07	eV/atom

Cell: 4.305 4.305 4.305 Å, 90.00 90.00 90.00°
Space group Pm-3m (No. 221)
Unique sites:
Tl  0.000  0.000  0.000 (multiplicity 1)
Tc  0.500  0.500  0.500 (multiplicity 1)
B  0.000  0.000  0.500 (multiplicity 3)